Entry 1:
Density functional theory data (PBE-GGA) for a geometry-optimized RbGeB structure.

a = 5.184 Å, b = 5.719 Å, c = 7.031 Å
α = 71.44°, β = 86.92°, γ = 82.67°
Sites, in units of the cell vectors:
1 Rb 0.000 0.000 0.000
2 Rb 0.488 0.286 0.436
3 Ge 0.645 0.621 0.793
4 Ge 0.981 0.728 0.544
5 B 0.211 0.564 0.783
6 B 0.407 0.398 0.949

As for the space-group type: P1, No. 1. The formation energy is 0.419 eV/atom. The density comes out at 2.86 Mg/m³.

Entry 2:
Density functional theory data (PBE-GGA) for a geometry-optimized RbGeB structure.

a = 4.325 Å, b = 5.396 Å, c = 8.274 Å
α = 90.00°, β = 90.00°, γ = 90.00°
Sites, in units of the cell vectors:
1 Rb 0.250 0.000 0.241
2 Rb 0.750 0.000 0.759
3 Ge 0.250 0.500 0.795
4 Ge 0.750 0.500 0.205
5 B 0.000 0.500 0.000
6 B 0.500 0.500 0.000

As for the space-group type: Pmma, No. 51. The formation energy is 0.455 eV/atom. The density comes out at 2.91 Mg/m³.